Entry 1:
# Ti5CoPt (GGA-PBE, relaxed)
data_Ti5CoPt
_cell_length_a 7.087
_cell_length_b 6.616
_cell_length_c 9.833
_cell_angle_alpha 90.00
_cell_angle_beta 105.19
_cell_angle_gamma 90.00
_space_group_name_H-M_alt 'C 1 2/c 1'
_space_group_IT_number 15
_space_group_name_Hall '-C 2yc'
loop_
_atom_site_label
_atom_site_type_symbol
_atom_site_fract_x
_atom_site_fract_y
_atom_site_fract_z
Ti1 Ti 0.000 0.009 0.250
Ti2 Ti 0.132 0.354 0.554
Ti3 Ti 0.239 0.304 0.870
Co1 Co 0.000 0.000 0.000
Pt1 Pt 0.000 0.408 0.250
# - DOS at the Fermi energy: 1.48 states/eV per atom
# - Uncorrected energy: -7.7535 eV per atom

---

Entry 2:
# TbPrNd4 (GGA-PBE, relaxed)
data_TbPrNd4
_cell_length_a 9.515
_cell_length_b 9.515
_cell_length_c 9.515
_cell_angle_alpha 90.00
_cell_angle_beta 90.00
_cell_angle_gamma 90.00
_space_group_name_H-M_alt 'F -4 3 m'
_space_group_IT_number 216
_space_group_name_Hall 'F -4 2 3'
loop_
_atom_site_label
_atom_site_type_symbol
_atom_site_fract_x
_atom_site_fract_y
_atom_site_fract_z
Tb1 Tb 0.000 0.000 0.000
Pr1 Pr 0.250 0.250 0.250
Nd1 Nd 0.126 0.126 0.626
# - DOS at the Fermi energy: 1.76 states/eV per atom
# - Distance to the lowest polymorph of the same formula: 147 meV per atom
# - Uncorrected energy: -4.4944 eV per atom

---

Entry 3:
# NbAlTc2 (GGA-PBE, relaxed)
data_NbAlTc2
_cell_length_a 6.882
_cell_length_b 6.882
_cell_length_c 5.636
_cell_angle_alpha 90.00
_cell_angle_beta 90.00
_cell_angle_gamma 90.00
_space_group_name_H-M_alt 'I -4 2 d'
_space_group_IT_number 122
_space_group_name_Hall 'I -4 2bw'
loop_
_atom_site_label
_atom_site_type_symbol
_atom_site_fract_x
_atom_site_fract_y
_atom_site_fract_z
Nb1 Nb 0.000 0.000 0.000
Al1 Al 0.000 0.000 0.500
Tc1 Tc 0.247 0.250 0.625
# - DOS at the Fermi energy: 0.96 states/eV per atom
# - Uncorrected energy: -8.1532 eV per atom

---

Entry 4:
# Na2VPbC (GGA-PBE, relaxed)
data_Na2VPbC
_cell_length_a 5.852
_cell_length_b 5.852
_cell_length_c 5.269
_cell_angle_alpha 90.00
_cell_angle_beta 90.00
_cell_angle_gamma 90.00
_space_group_name_H-M_alt 'P 4/m m m'
_space_group_IT_number 123
_space_group_name_Hall '-P 4 2'
loop_
_atom_site_label
_atom_site_type_symbol
_atom_site_fract_x
_atom_site_fract_y
_atom_site_fract_z
Na1 Na 0.000 0.500 0.000
V1 V 0.000 0.000 0.000
Pb1 Pb 0.000 0.000 0.500
C1 C 0.500 0.500 0.500
# - DOS at the Fermi energy: 1.63 states/eV per atom
# - Uncorrected energy: -2.9367 eV per atom

---

Entry 5:
# Pu4Si2H (GGA-PBE, relaxed)
data_Pu4Si2H
_cell_length_a 4.354
_cell_length_b 4.354
_cell_length_c 15.668
_cell_angle_alpha 90.00
_cell_angle_beta 90.00
_cell_angle_gamma 90.00
_space_group_name_H-M_alt 'I 4/m m m'
_space_group_IT_number 139
_space_group_name_Hall '-I 4 2'
loop_
_atom_site_label
_atom_site_type_symbol
_atom_site_fract_x
_atom_site_fract_y
_atom_site_fract_z
Pu1 Pu 0.000 0.000 0.183
Pu2 Pu 0.000 0.500 0.000
Si1 Si 0.000 0.000 0.368
H1 H 0.000 0.000 0.000
# - DOS at the Fermi energy: 3.52 states/eV per atom
# - Uncorrected energy: -10.4776 eV per atom

---

Entry 6:
# LiGe2Ir (GGA-PBE, relaxed)
data_LiGe2Ir
_cell_length_a 2.9597
_cell_length_b 2.9597
_cell_length_c 25.1996
_cell_angle_alpha 90.00
_cell_angle_beta 90.00
_cell_angle_gamma 120.00
_space_group_name_H-M_alt 'R -3 m'
_space_group_IT_number 166
_space_group_name_Hall '-R 3 2"'
loop_
_atom_site_label
_atom_site_type_symbol
_atom_site_fract_x
_atom_site_fract_y
_atom_site_fract_z
Li1 Li 0.0000 0.0000 0.0000
Ge1 Ge 0.0000 0.0000 0.2459
Ir1 Ir 0.0000 0.0000 0.5000
# - DOS at the Fermi energy: 0.35 states/eV per atom
# - Distance to the lowest polymorph of the same formula: 185 meV per atom
# - Uncorrected energy: -5.1607 eV per atom

---

Entry 7:
# Ca3Cd8Ga3 (GGA-PBE, relaxed)
data_Ca3Cd8Ga3
_cell_length_a 5.157
_cell_length_b 9.505
_cell_length_c 13.745
_cell_angle_alpha 90.00
_cell_angle_beta 90.00
_cell_angle_gamma 90.00
_space_group_name_H-M_alt 'I m m m'
_space_group_IT_number 71
_space_group_name_Hall '-I 2 2'
loop_
_atom_site_label
_atom_site_type_symbol
_atom_site_fract_x
_atom_site_fract_y
_atom_site_fract_z
Ca1 Ca 0.000 0.000 0.000
Ca2 Ca 0.000 0.000 0.286
Cd1 Cd 0.000 0.292 0.139
Cd2 Cd 0.000 0.353 0.354
Ga1 Ga 0.000 0.145 0.500
Ga2 Ga 0.000 0.500 0.000
# - DOS at the Fermi energy: 0.45 states/eV per atom
# - Uncorrected energy: -1.8373 eV per atom

---

Entry 8:
# Ca4InRe (GGA-PBE, relaxed)
data_Ca4InRe
_cell_length_a 8.721
_cell_length_b 8.721
_cell_length_c 8.721
_cell_angle_alpha 90.00
_cell_angle_beta 90.00
_cell_angle_gamma 90.00
_space_group_name_H-M_alt 'F -4 3 m'
_space_group_IT_number 216
_space_group_name_Hall 'F -4 2 3'
loop_
_atom_site_label
_atom_site_type_symbol
_atom_site_fract_x
_atom_site_fract_y
_atom_site_fract_z
Ca1 Ca 0.124 0.124 0.376
In1 In 0.000 0.000 0.000
Re1 Re 0.250 0.250 0.750
# - DOS at the Fermi energy: 1.42 states/eV per atom
# - Uncorrected energy: -2.9062 eV per atom

---

Entry 9:
# K4Tm3NpTe8 (GGA-PBE, relaxed)
data_K4Tm3NpTe8
_cell_length_a 8.9810
_cell_length_b 8.9810
_cell_length_c 24.6498
_cell_angle_alpha 90.00
_cell_angle_beta 90.00
_cell_angle_gamma 120.00
_space_group_name_H-M_alt 'R -3 m'
_space_group_IT_number 166
_space_group_name_Hall '-R 3 2"'
loop_
_atom_site_label
_atom_site_type_symbol
_atom_site_fract_x
_atom_site_fract_y
_atom_site_fract_z
K1 K 0.0000 0.0000 0.0000
K2 K 0.0000 0.5000 0.0000
Tm1 Tm 0.0000 0.5000 0.5000
Np1 Np 0.0000 0.0000 0.5000
Te1 Te 0.0000 0.0000 0.2352
Te2 Te 0.0069 0.5035 0.7642
# - DOS at the Fermi energy: 0.40 states/eV per atom
# - Formation energy without anion corrections: -1.242 eV/atom
# - Uncorrected energy: -4.7348 eV per atom

---

Entry 10:
# RbPIrS2 (GGA-PBE, relaxed)
data_RbPIrS2
_cell_length_a 5.091
_cell_length_b 5.091
_cell_length_c 4.443
_cell_angle_alpha 90.00
_cell_angle_beta 90.00
_cell_angle_gamma 90.00
_space_group_name_H-M_alt 'P 4/m m m'
_space_group_IT_number 123
_space_group_name_Hall '-P 4 2'
loop_
_atom_site_label
_atom_site_type_symbol
_atom_site_fract_x
_atom_site_fract_y
_atom_site_fract_z
Rb1 Rb 0.000 0.000 0.000
P1 P 0.500 0.500 0.000
Ir1 Ir 0.500 0.500 0.500
S1 S 0.000 0.500 0.500
# - DOS at the Fermi energy: 1.13 states/eV per atom
# - Distance to the lowest polymorph of the same formula: 0 meV per atom
# - Formation energy without anion corrections: 0.060 eV/atom
# - Uncorrected energy: -4.6390 eV per atom

---

Entry 11:
# Ta2VSe4 (GGA-PBE, relaxed)
data_Ta2VSe4
_cell_length_a 13.829
_cell_length_b 3.494
_cell_length_c 6.341
_cell_angle_alpha 90.00
_cell_angle_beta 115.55
_cell_angle_gamma 90.00
_space_group_name_H-M_alt 'C 1 2/m 1'
_space_group_IT_number 12
_space_group_name_Hall '-C 2y'
loop_
_atom_site_label
_atom_site_type_symbol
_atom_site_fract_x
_atom_site_fract_y
_atom_site_fract_z
Ta1 Ta 0.244 0.000 0.178
V1 V 0.000 0.500 0.500
Se1 Se 0.100 0.500 0.946
Se2 Se 0.138 0.000 0.476
# - DOS at the Fermi energy: 0.46 states/eV per atom
# - Formation energy without anion corrections: -0.733 eV/atom
# - Uncorrected energy: -7.4131 eV per atom

---

Entry 12:
# Nd2Pd2Pb (GGA-PBE, relaxed)
data_Nd2Pd2Pb
_cell_length_a 8.028
_cell_length_b 8.028
_cell_length_c 3.815
_cell_angle_alpha 90.00
_cell_angle_beta 90.00
_cell_angle_gamma 90.00
_space_group_name_H-M_alt 'P 4/m b m'
_space_group_IT_number 127
_space_group_name_Hall '-P 4 2ab'
loop_
_atom_site_label
_atom_site_type_symbol
_atom_site_fract_x
_atom_site_fract_y
_atom_site_fract_z
Nd1 Nd 0.175 0.325 0.000
Pd1 Pd 0.124 0.624 0.500
Pb1 Pb 0.000 0.000 0.500
# - DOS at the Fermi energy: 0.81 states/eV per atom
# - Uncorrected energy: -5.5184 eV per atom